The following is a DFT calculation (PBE-GGA) of a relaxed Ac2LaSn crystal.

Cell lengths 5.892, 5.892, 5.892 Å; angles 60.00, 60.00, 60.00 degrees
Fractional coordinates of all 4 atoms:
Ac 0.250 0.250 0.250
Ac 0.750 0.750 0.750
Sn 0.500 0.500 0.500
La 0.000 0.000 0.000

Crystal system: cubic
Fermi-level density of states: 5.81 states/eV/cell
Formation energy from the elements: -0.67 eV per formula unit
Space-group type: Fm-3m
Relative energy among the computed polymorphs: 0.2127 eV/atom

The following is a DFT calculation (PBE-GGA) of a relaxed Ac2La2Sn3 crystal.

Cell lengths 5.618, 5.637, 9.899 Å; angles 106.58, 89.97, 119.89 degrees
Fractional coordinates of all 7 atoms:
Ac 0.880 0.759 0.638
Ac 0.120 0.241 0.362
La 0.632 0.264 0.896
La 0.368 0.736 0.104
Sn 0.000 0.000 0.000
Sn 0.757 0.513 0.269
Sn 0.243 0.487 0.731

Crystal system: monoclinic
Fermi-level density of states: 5.33 states/eV/cell
Formation energy from the elements: -4.12 eV per formula unit
Space-group type: C2/m

The following is a DFT calculation (PBE-GGA) of a relaxed AcLaSn2 crystal.

Cell lengths 4.928, 4.512, 6.579 Å; angles 90.00, 111.97, 90.00 degrees
Fractional coordinates of all 4 atoms:
Ac 0.445 0.500 0.429
La 0.718 0.000 0.975
Sn 0.169 0.500 0.877
Sn 0.999 0.000 0.537

Crystal system: orthorhombic
Fermi-level density of states: 3.84 states/eV/cell
Formation energy from the elements: -3.01 eV per formula unit
Space-group type: Amm2

The following is a DFT calculation (PBE-GGA) of a relaxed Ac5LaSn3 crystal.

Cell lengths 7.228, 10.204, 10.203 Å; angles 120.00, 90.00, 90.00 degrees
Fractional coordinates of all 18 atoms:
Ac 0.000 0.667 0.333
Ac 0.500 0.333 0.667
Ac 0.000 0.333 0.667
Ac 0.500 0.667 0.333
Ac 0.750 0.670 0.670
Ac 0.750 0.000 0.330
Ac 0.750 0.330 0.000
Ac 0.250 0.330 0.330
Ac 0.250 0.000 0.670
Ac 0.250 0.670 0.000
La 0.000 0.000 0.000
La 0.500 0.000 0.000
Sn 0.750 0.333 0.333
Sn 0.750 0.000 0.667
Sn 0.750 0.667 0.000
Sn 0.250 0.667 0.667
Sn 0.250 0.000 0.333
Sn 0.250 0.333 0.000

Crystal system: hexagonal
Fermi-level density of states: 22.54 states/eV/cell
Formation energy from the elements: -4.22 eV per formula unit
Space-group type: P6_3/mcm

The following is a DFT calculation (PBE-GGA) of a relaxed Ac2La2Sn5 crystal.

Cell lengths 8.486, 8.505, 9.742 Å; angles 115.88, 90.00, 90.00 degrees
Fractional coordinates of all 18 atoms:
Ac 0.000 0.191 0.382
Ac 0.500 0.691 0.382
Ac 0.000 0.809 0.618
Ac 0.500 0.309 0.618
La 0.672 0.827 0.000
La 0.328 0.173 0.000
La 0.172 0.673 0.000
La 0.828 0.327 0.000
Sn 0.000 0.000 0.000
Sn 0.500 0.500 0.000
Sn 0.878 0.752 0.260
Sn 0.122 0.508 0.260
Sn 0.378 0.008 0.260
Sn 0.622 0.252 0.260
Sn 0.122 0.248 0.740
Sn 0.878 0.492 0.740
Sn 0.622 0.992 0.740
Sn 0.378 0.748 0.740

Crystal system: orthorhombic
Fermi-level density of states: 7.56 states/eV/cell
Formation energy from the elements: -5.80 eV per formula unit
Space-group type: Cmce

The following is a DFT calculation (PBE-GGA) of a relaxed Ac2LaSn crystal.

Cell lengths 6.774, 7.983, 11.851 Å; angles 101.50, 90.00, 90.00 degrees
Fractional coordinates of all 16 atoms:
Ac 0.716 0.124 0.063
Ac 0.216 0.376 0.937
Ac 0.284 0.876 0.937
Ac 0.784 0.624 0.063
Ac 0.838 0.700 0.748
Ac 0.338 0.800 0.252
Ac 0.162 0.300 0.252
Ac 0.662 0.200 0.748
La 0.646 0.475 0.353
La 0.146 0.025 0.647
La 0.354 0.525 0.647
La 0.854 0.975 0.353
Sn 0.414 0.163 0.460
Sn 0.914 0.337 0.540
Sn 0.586 0.837 0.540
Sn 0.086 0.663 0.460

Crystal system: monoclinic
Fermi-level density of states: 20.76 states/eV/cell
Formation energy from the elements: -1.00 eV per formula unit
Space-group type: P2_1/c
Relative energy among the computed polymorphs: 0.1295 eV/atom

The following is a DFT calculation (PBE-GGA) of a relaxed Ac2LaSn2 crystal.

Cell lengths 5.024, 7.227, 11.061 Å; angles 78.66, 76.87, 69.66 degrees
Fractional coordinates of all 10 atoms:
Ac 0.315 0.276 0.093
Ac 0.489 0.340 0.682
Ac 0.685 0.724 0.907
Ac 0.511 0.660 0.318
La 0.785 0.071 0.358
La 0.215 0.929 0.642
Sn 0.969 0.169 0.893
Sn 0.123 0.324 0.429
Sn 0.031 0.831 0.107
Sn 0.877 0.676 0.571

Crystal system: monoclinic
Fermi-level density of states: 8.87 states/eV/cell
Formation energy from the elements: -3.05 eV per formula unit
Space-group type: C2/m
Relative energy among the computed polymorphs: 0.0595 eV/atom

The following is a DFT calculation (PBE-GGA) of a relaxed Ac3LaSn3 crystal.

Cell lengths 8.450, 8.450, 8.610 Å; angles 91.74, 91.74, 114.33 degrees
Fractional coordinates of all 14 atoms:
Ac 0.628 0.628 0.363
Ac 0.163 0.837 0.500
Ac 0.837 0.163 0.500
Ac 0.225 0.775 0.000
Ac 0.775 0.225 0.000
Ac 0.372 0.372 0.637
La 0.741 0.741 0.913
La 0.259 0.259 0.087
Sn 0.947 0.947 0.218
Sn 0.846 0.504 0.700
Sn 0.504 0.846 0.700
Sn 0.154 0.496 0.300
Sn 0.496 0.154 0.300
Sn 0.053 0.053 0.782

Crystal system: monoclinic
Fermi-level density of states: 9.75 states/eV/cell
Formation energy from the elements: -3.18 eV per formula unit
Space-group type: C2/m